4
Lattice="6.765 0.000 0.000 0.000 6.765 0.000 0.000 0.000 4.164" Properties=species:S:1:pos:R:3 comment="KAcEu2 (GGA-PBE, relaxed)" sg=P4/mmm dft_energy_ev_per_cell=-24.9 e_above_lowest_polymorph_mev_per_atom=112 delta_e_f_ev_per_atom=0.21 pbc="T T T"
K 0.000 0.000 0.000
Ac 3.383 3.383 0.000
Eu 0.000 3.383 2.082
Eu 3.383 0.000 2.082

4
Lattice="3.952 0.000 0.000 0.000 3.952 0.000 0.000 0.000 12.605" Properties=species:S:1:pos:R:3 comment="KAcEu2 (GGA-PBE, relaxed)" sg=P4/mmm dft_energy_ev_per_cell=-25.3 e_above_lowest_polymorph_mev_per_atom=13 delta_e_f_ev_per_atom=0.11 pbc="T T T"
K 0.000 0.000 0.000
Ac 0.000 0.000 6.302
Eu 1.976 1.976 3.511
Eu 1.976 1.976 9.094

4
Lattice="2.003 1.157 13.914 -2.003 1.157 13.914 0.000 -2.313 13.914" Properties=species:S:1:pos:R:3 comment="KAcEu2 (GGA-PBE, relaxed)" sg=R-3m dft_energy_ev_per_cell=-25.4 e_above_lowest_polymorph_mev_per_atom=0 delta_e_f_ev_per_atom=0.10 pbc="T T T"
K 0.000 0.000 0.000
Ac 0.000 0.000 20.871
Eu 0.000 0.000 10.159
Eu 0.000 0.000 31.583

3
Lattice="4.016 0.000 0.000 -2.008 3.478 0.000 0.000 0.000 10.671" Properties=species:S:1:pos:R:3 comment="KAcEu (GGA-PBE, relaxed)" sg=P3m1 dft_energy_ev_per_cell=-15.1 e_above_lowest_polymorph_mev_per_atom=0 delta_e_f_ev_per_atom=0.14 pbc="T T T"
K 0.000 0.000 0.000
Ac 0.000 2.319 6.889
Eu 2.008 1.159 3.787

3
Lattice="-1.972 1.972 9.746 1.972 -1.972 9.746 1.972 1.972 -9.746" Properties=species:S:1:pos:R:3 comment="KAcEu (GGA-PBE, relaxed)" sg=I4mm dft_energy_ev_per_cell=-14.9 e_above_lowest_polymorph_mev_per_atom=52 delta_e_f_ev_per_atom=0.19 pbc="T T T"
K 0.000 0.000 0.000
Ac 0.000 0.000 6.246
Eu 0.000 0.000 13.251

4
Lattice="0.000 4.232 4.232 4.232 0.000 4.232 4.232 4.232 0.000" Properties=species:S:1:pos:R:3 comment="KAcEuPb (GGA-PBE, relaxed)" sg=F-43m dft_energy_ev_per_cell=-19.4 delta_e_f_ev_per_atom=-0.04 pbc="T T T"
K 0.000 0.000 0.000
Ac 2.116 2.116 2.116
Eu 6.348 6.348 6.348
Pb 4.232 4.232 4.232